Entry 1
Material: YZnSe2Br
Method: DFT, PBE
State: optimized geometry

Values from the calculation:
**ρ**: 5254 kg/m³
**N(E_F)**: 1.0 states/eV/f.u.

abc: 5.036 5.036 4.886
angles: 90.00 90.00 90.00
Space group P4/mmm (No. 123)
Inequivalent atoms, fractional coordinates:
Y 0.000 0.000 0.000 [1 per cell]
Zn 0.500 0.500 0.500 [1 per cell]
Se 0.000 0.500 0.500 [2 per cell]
Br 0.500 0.500 0.000 [1 per cell]

***

Entry 2
Material: YZnSe2Br
Method: DFT, PBE
State: optimized geometry

Values from the calculation:
**ρ**: 3863 kg/m³
**N(E_F)**: 4.9 states/eV/f.u.

abc: 5.538 5.538 5.496
angles: 90.00 90.00 90.00
Space group P4/mmm (No. 123)
Inequivalent atoms, fractional coordinates:
Y 0.000 0.000 0.000 [1 per cell]
Zn 0.500 0.500 0.500 [1 per cell]
Se 0.000 0.500 0.000 [2 per cell]
Br 0.000 0.000 0.500 [1 per cell]

***

Q: What are the energies relative to the best structure? A: entry 1 0.0; entry 2 6.4, in kJ/mol of atoms.

***

Entry 1
Material: ZrZnSeBr2
Method: DFT, PBE
State: optimized geometry

Values from the calculation:
**ρ**: 5218 kg/m³
**N(E_F)**: 5.7 states/eV/f.u.

abc: 4.959 4.959 5.117
angles: 90.00 90.00 90.00
Space group P4/mmm (No. 123)
Inequivalent atoms, fractional coordinates:
Zr 0.000 0.000 0.000 [1 per cell]
Zn 0.500 0.500 0.500 [1 per cell]
Se 0.500 0.500 0.000 [1 per cell]
Br 0.000 0.500 0.500 [2 per cell]

***

Entry 2
Material: ZrZnSeBr2
Method: DFT, PBE
State: optimized geometry

Values from the calculation:
**ρ**: 4303 kg/m³
**N(E_F)**: 2.2 states/eV/f.u.

abc: 5.430 5.430 5.176
angles: 90.00 90.00 90.00
Space group P4/mmm (No. 123)
Inequivalent atoms, fractional coordinates:
Zr 0.000 0.000 0.000 [1 per cell]
Zn 0.500 0.500 0.500 [1 per cell]
Se 0.000 0.000 0.500 [1 per cell]
Br 0.000 0.500 0.000 [2 per cell]

***

Q: What are the energies relative to the best structure? A: entry 1 62.1; entry 2 0.0, in kJ/mol of atoms.

***

Entry 1
Material: Zr2SeBr
Method: DFT, PBE
State: optimized geometry

Values from the calculation:
**ρ**: 6664 kg/m³
**N(E_F)**: 3.8 states/eV/f.u.

abc: 3.4072 3.4072 25.3768
angles: 90.00 90.00 120.00
Space group R-3m (No. 166, hexagonal axes)
Inequivalent atoms, fractional coordinates:
Zr 0.0000 0.0000 0.2434 [6 per cell]
Se 0.0000 0.0000 0.5000 [3 per cell]
Br 0.0000 0.0000 0.0000 [3 per cell]

***

Entry 2
Material: Zr2SeBr
Method: DFT, PBE
State: optimized geometry

Values from the calculation:
**ρ**: 6317 kg/m³
**N(E_F)**: 3.4 states/eV/f.u.

abc: 3.383 5.978 8.873
angles: 90.00 90.00 90.00
Space group Cmmm (No. 65)
Inequivalent atoms, fractional coordinates:
Zr 0.000 0.000 0.234 [4 per cell]
Se 0.000 0.500 0.000 [2 per cell]
Br 0.000 0.500 0.500 [2 per cell]

***

Q: What are the energies relative to the best structure? A: entry 1 0.0; entry 2 16.7, in kJ/mol of atoms.

***

Entry 1
Material: ZrSe3Br
Method: DFT, PBE
State: optimized geometry

Values from the calculation:
**ρ**: 4715 kg/m³
**N(E_F)**: 9.5 states/eV/f.u.

abc: 5.238 5.238 5.238
angles: 90.00 90.00 90.00
Space group Pm-3m (No. 221)
Inequivalent atoms, fractional coordinates:
Zr 0.000 0.000 0.000 [1 per cell]
Se 0.000 0.000 0.500 [3 per cell]
Br 0.500 0.500 0.500 [1 per cell]

***

Entry 2
Material: ZrSe3Br
Method: DFT, PBE
State: optimized geometry

Values from the calculation:
**ρ**: 5267 kg/m³
**N(E_F)**: 4.9 states/eV/f.u.

abc: 5.048 5.048 5.048
angles: 90.00 90.00 90.00
Space group Pm-3m (No. 221)
Inequivalent atoms, fractional coordinates:
Zr 0.000 0.000 0.000 [1 per cell]
Se 0.000 0.500 0.500 [3 per cell]
Br 0.500 0.500 0.500 [1 per cell]

***

Q: What are the energies relative to the best structure? A: entry 1 0.0; entry 2 91.8, in kJ/mol of atoms.

***

Entry 1
Material: ZrSe2Br
Method: DFT, PBE
State: optimized geometry

Values from the calculation:
**ρ**: 6547 kg/m³
**N(E_F)**: 2.9 states/eV/f.u.

abc: 6.937 6.937 6.937
angles: 90.00 90.00 90.00
Space group F-43m (No. 216)
Inequivalent atoms, fractional coordinates:
Zr 0.000 0.000 0.000 [4 per cell]
Se 0.000 0.000 0.500 [4 per cell]
Se 0.250 0.250 0.750 [4 per cell]
Br 0.250 0.250 0.250 [4 per cell]

***

Entry 2
Material: ZrSe2Br
Method: DFT, PBE
State: optimized geometry

Values from the calculation:
**ρ**: 6474 kg/m³
**N(E_F)**: 2.9 states/eV/f.u.

abc: 4.535 4.535 8.208
angles: 90.00 90.00 90.00
Space group I4/mmm (No. 139)
Inequivalent atoms, fractional coordinates:
Zr 0.000 0.000 0.000 [2 per cell]
Se 0.000 0.500 0.250 [4 per cell]
Br 0.000 0.000 0.500 [2 per cell]

***

Entry 3
Material: ZrSe2Br
Method: DFT, PBE
State: optimized geometry

Values from the calculation:
**ρ**: 6003 kg/m³
**N(E_F)**: 1.5 states/eV/f.u.

abc: 5.242 9.081 3.825
angles: 90.00 90.00 90.00
Space group Cmmm (No. 65)
Inequivalent atoms, fractional coordinates:
Zr 0.000 0.000 0.000 [2 per cell]
Se 0.250 0.250 0.500 [4 per cell]
Br 0.000 0.500 0.000 [2 per cell]

***

Entry 4
Material: ZrSe2Br
Method: DFT, PBE
State: optimized geometry

Values from the calculation:
**ρ**: 6392 kg/m³
**N(E_F)**: 4.9 states/eV/f.u.

abc: 4.972 4.972 3.458
angles: 90.00 90.00 90.00
Space group P4/mmm (No. 123)
Inequivalent atoms, fractional coordinates:
Zr 0.000 0.000 0.000 [1 per cell]
Se 0.000 0.500 0.500 [2 per cell]
Br 0.500 0.500 0.000 [1 per cell]

***

Q: What are the energies relative to the best structure? A: entry 1 5.8; entry 2 1.3; entry 3 0.0; entry 4 24.8, in kJ/mol of atoms.

***

Entry 1
Material: SiBr4
Method: DFT, PBE
State: optimized geometry

Values from the calculation:
**ρ**: 2624 kg/m³
**N(E_F)**: 0.0 states/eV/f.u.

abc: 11.157 7.214 11.328
angles: 90.00 105.12 90.00
Space group P2_1/c (No. 14)
Inequivalent atoms, fractional coordinates:
Si 0.250 0.068 0.158 [4 per cell]
Br 0.097 0.574 0.713 [4 per cell]
Br 0.196 0.141 0.608 [4 per cell]
Br 0.287 0.576 0.499 [4 per cell]
Br 0.419 0.064 0.313 [4 per cell]

***

Entry 2
Material: SiBr4
Method: DFT, PBE
State: optimized geometry

Values from the calculation:
**ρ**: 4213 kg/m³
**N(E_F)**: 5.7 states/eV/f.u.

abc: 5.156 5.156 5.156
angles: 90.00 90.00 90.00
Space group Pm-3m (No. 221)
Inequivalent atoms, fractional coordinates:
Si 0.000 0.000 0.000 [1 per cell]
Br 0.000 0.000 0.500 [3 per cell]
Br 0.500 0.500 0.500 [1 per cell]

***

Q: What are the energies relative to the best structure? A: entry 1 0.0; entry 2 82.1, in kJ/mol of atoms.